# 1
The following is a DFT calculation (meta-GGA SCAN) of a PBEsol-optimized structure of Li5CuF8.

* distance to the lowest polymorph of the same formula: 0.0 meV per atom
* total moment: 2.155 μB per formula unit
* ΔE_f (raw): -38.44 eV/f.u.
* DOS(E_F): 0.000 states/eV/atom

a b c (Å): 5.860 5.860 5.860
angles (deg): 58.37 58.37 58.37
Fractional coordinates of all 14 atoms:
Li 0.000 0.500 0.500
Li 0.143 0.143 0.143
Li 0.500 0.000 0.500
Li 0.500 0.500 0.000
Li 0.857 0.857 0.857
Cu 0.500 0.500 0.500
F 0.266 0.732 0.732
F 0.268 0.268 0.268
F 0.268 0.268 0.734
F 0.268 0.734 0.268
F 0.732 0.266 0.732
F 0.732 0.732 0.266
F 0.732 0.732 0.732
F 0.734 0.268 0.268

# 2
The following is a DFT calculation (meta-GGA SCAN) of a PBEsol-optimized structure of Li2Cu3F8.

* distance to the lowest polymorph of the same formula: 0.0 meV per atom
* total moment: 3.000 μB per formula unit
* ΔE_f (raw): -28.45 eV/f.u.

a b c (Å): 6.037 6.037 8.963
angles (deg): 90.29 90.29 117.43
Fractional coordinates of all 26 atoms:
Li 0.155 0.819 0.881
Li 0.164 0.836 0.500
Li 0.819 0.155 0.381
Li 0.836 0.164 0.000
Cu 0.147 0.319 0.717
Cu 0.319 0.147 0.217
Cu 0.321 0.641 0.214
Cu 0.641 0.321 0.714
Cu 0.643 0.817 0.723
Cu 0.817 0.643 0.223
F 0.007 0.466 0.851
F 0.021 0.525 0.336
F 0.136 0.265 0.105
F 0.204 0.837 0.096
F 0.265 0.136 0.605
F 0.345 0.694 0.612
F 0.435 0.452 0.334
F 0.452 0.435 0.834
F 0.466 0.007 0.351
F 0.525 0.021 0.836
F 0.634 0.786 0.115
F 0.694 0.345 0.112
F 0.786 0.634 0.615
F 0.837 0.204 0.596
F 0.927 0.953 0.850
F 0.953 0.927 0.350

# 3
The following is a DFT calculation (meta-GGA SCAN) of a PBEsol-optimized structure of Li2Cu2F7.

* distance to the lowest polymorph of the same formula: 28.0 meV per atom
* total moment: 3.000 μB per formula unit
* ΔE_f (raw): -24.03 eV/f.u.
* DOS(E_F): 0.386 states/eV/atom

a b c (Å): 7.002 7.002 7.002
angles (deg): 60.00 60.00 60.00
Fractional coordinates of all 22 atoms:
Li 0.000 0.000 0.000
Li 0.000 0.000 0.500
Li 0.000 0.500 0.000
Li 0.500 0.000 0.000
Cu 0.000 0.500 0.500
Cu 0.500 0.000 0.500
Cu 0.500 0.500 0.000
Cu 0.500 0.500 0.500
F 0.125 0.125 0.125
F 0.171 0.171 0.579
F 0.171 0.579 0.171
F 0.171 0.579 0.579
F 0.421 0.421 0.829
F 0.421 0.829 0.421
F 0.421 0.829 0.829
F 0.579 0.171 0.171
F 0.579 0.171 0.579
F 0.579 0.579 0.171
F 0.829 0.421 0.421
F 0.829 0.421 0.829
F 0.829 0.829 0.421
F 0.875 0.875 0.875

# 4
The following is a DFT calculation (meta-GGA SCAN) of a PBEsol-optimized structure of Li2CuF5.

* total moment: 2.006 μB per formula unit
* ΔE_f (raw): -19.13 eV/f.u.
* DOS(E_F): 0.075 states/eV/atom

a b c (Å): 5.239 5.239 9.583
angles (deg): 90.00 90.00 137.15
Fractional coordinates of all 16 atoms:
Li 0.134 0.866 0.570
Li 0.134 0.866 0.930
Li 0.866 0.134 0.070
Li 0.866 0.134 0.430
Cu 0.191 0.809 0.250
Cu 0.809 0.191 0.750
F 0.057 0.943 0.113
F 0.057 0.943 0.387
F 0.285 0.715 0.750
F 0.319 0.681 0.102
F 0.319 0.681 0.398
F 0.681 0.319 0.602
F 0.681 0.319 0.898
F 0.715 0.285 0.250
F 0.943 0.057 0.613
F 0.943 0.057 0.887